Below is a relaxed LiTcAu4 crystal, with properties calculated at the GGA-PBE level.

Cell: 5.469 5.469 5.469 Å, 60.00 60.00 60.00°
Last column: magnetic moment on the atom in μB.
Positions (direct):
Au 0.375 0.375 0.375  0.06
Au 0.375 0.875 0.375  0.06
Au 0.875 0.375 0.375  0.06
Li 0.750 0.750 0.750  -0.01
Tc 0.000 0.000 0.000  3.24
Au 0.375 0.375 0.875  0.06

Results
* ρ: 12.8 g cm⁻³
* Fermi-level density of states: 3.68 states/eV per cell
* E_form: 1.796 eV per formula unit
* final energy: -3.932 eV per atom
* space-group type: F-43m